Entry from Alexandria: crystalline Na2NiSeF at its relaxed geometry (PBE with a Hubbard U).

## Properties
- raw total energy (eV/atom) = -2.7514
- relative energy among the computed polymorphs (meV per atom) = 50
- M_tot (μB/cell) = 0.931

```
data_Na2NiSeF
_chemical_formula_sum 'Na2 Ni1 Se1 F1'
_cell_length_a 5.363
_cell_length_b 5.363
_cell_length_c 3.710
_cell_angle_alpha 90.00
_cell_angle_beta 90.00
_cell_angle_gamma 90.00
_symmetry_space_group_name_H-M 'P 4/m m m'
_symmetry_Int_Tables_number 123
_symmetry_space_group_name_Hall '-P 4 2'
loop_
_atom_site_label
_atom_site_fract_x
_atom_site_fract_y
_atom_site_fract_z
Na1 0.000 0.500 0.000
Ni1 0.000 0.000 0.000
Se1 0.500 0.500 0.500
F1 0.000 0.000 0.500
```